Crystalline CeGd3 at its relaxed geometry. Source: Alexandria via LeMat-Bulk, functional GGA-PBE.

POSCAR file:
```
CeGd3
1.0
0.000 4.022 4.022
4.022 0.000 4.022
4.022 4.022 0.000
Ce Gd
1 3
Cartesian
0.000 0.000 0.000
2.011 2.011 2.011
4.022 4.022 4.022
6.033 6.033 6.033
```

Values from the calculation:
* space group: No. 225
* formation enthalpy at 0 K: 0.184 eV per atom
* crystal system: cubic

=====

Crystalline Ce3Gd at its relaxed geometry. Source: Alexandria via LeMat-Bulk, functional GGA-PBE.

POSCAR file:
```
Ce3Gd
1.0
3.296 0.000 0.000
0.000 5.474 0.000
0.000 0.000 6.190
Ce Gd
3 1
Cartesian
0.000 0.000 0.000
0.000 2.737 1.295
1.648 2.737 4.629
1.648 0.000 3.064
```

Values from the calculation:
* space group: No. 25
* formation enthalpy at 0 K: 0.118 eV per atom
* crystal system: orthorhombic

=====

Crystalline CeGd at its relaxed geometry. Source: Alexandria via LeMat-Bulk, functional GGA-PBE.

POSCAR file:
```
CeGd
1.0
3.992 0.000 0.000
0.000 3.992 0.000
0.000 0.000 3.992
Ce Gd
1 1
Cartesian
0.000 0.000 0.000
1.996 1.996 1.996
```

Values from the calculation:
* space group: No. 221
* formation enthalpy at 0 K: 0.248 eV per atom
* crystal system: cubic

=====

Crystalline Ce6Gd at its relaxed geometry. Source: Alexandria via LeMat-Bulk, functional GGA-PBE.

POSCAR file:
```
Ce6Gd
1.0
-3.811 3.811 3.811
3.811 -3.811 3.811
3.811 3.811 -3.811
Ce Gd
6 1
Cartesian
3.811 1.905 0.000
3.811 0.000 1.905
1.905 3.811 0.000
1.905 0.000 3.811
0.000 3.811 1.905
0.000 1.905 3.811
0.000 0.000 0.000
```

Values from the calculation:
* space group: No. 229
* formation enthalpy at 0 K: 0.635 eV per atom
* crystal system: cubic

=====

Crystalline CeGd3 at its relaxed geometry. Source: Alexandria via LeMat-Bulk, functional GGA-PBE.

POSCAR file:
```
CeGd3
1.0
-1.799 5.782 3.142
1.799 -5.782 3.142
1.799 5.782 -3.142
Ce Gd
1 3
Cartesian
0.000 0.000 0.000
1.799 2.887 -1.059
0.000 5.782 0.015
0.000 2.895 2.083
```

Values from the calculation:
* space group: No. 44
* formation enthalpy at 0 K: 0.076 eV per atom
* crystal system: orthorhombic

=====

Crystalline CeGd5 at its relaxed geometry. Source: Alexandria via LeMat-Bulk, functional GGA-PBE.

POSCAR file:
```
CeGd5
1.0
2.523 -7.534 0.000
2.523 7.534 0.000
0.000 0.000 5.065
Ce Gd
1 5
Cartesian
0.000 0.000 0.000
2.523 5.057 2.533
2.523 2.489 0.000
2.523 0.000 2.533
2.523 -2.489 0.000
2.523 -5.057 2.533
```

Values from the calculation:
* space group: No. 65
* formation enthalpy at 0 K: 0.055 eV per atom
* crystal system: orthorhombic

=====

Crystalline CeGdGe4 at its relaxed geometry. Source: Alexandria via LeMat-Bulk, functional GGA-PBE.

POSCAR file:
```
CeGdGe4
1.0
0.000 3.993 3.993
3.993 0.000 3.993
3.993 3.993 0.000
Ce Gd Ge
1 1 4
Cartesian
0.000 0.000 0.000
1.996 1.996 1.996
4.985 3.000 3.000
3.000 4.985 3.000
3.000 3.000 4.985
4.985 4.985 4.985
```

Values from the calculation:
* space group: No. 216
* formation enthalpy at 0 K: -0.379 eV per atom
* crystal system: cubic

=====

Crystalline Ce2GdGe at its relaxed geometry. Source: Alexandria via LeMat-Bulk, functional GGA-PBE.

POSCAR file:
```
Ce2GdGe
1.0
4.465 0.000 0.000
0.000 4.465 0.000
0.000 0.000 4.967
Ce Gd Ge
2 1 1
Cartesian
0.000 2.232 0.000
2.232 0.000 0.000
0.000 0.000 2.483
2.232 2.232 2.483
```

Values from the calculation:
* space group: No. 123
* formation enthalpy at 0 K: -0.371 eV per atom
* crystal system: tetragonal

=====

Crystalline CeGdGe at its relaxed geometry. Source: Alexandria via LeMat-Bulk, functional GGA-PBE.

POSCAR file:
```
CeGdGe
1.0
4.767 0.000 0.000
-2.383 4.128 0.000
0.000 0.000 4.050
Ce Gd Ge
1 1 1
Cartesian
0.000 0.000 0.000
2.383 1.376 2.265
0.000 2.752 1.378
```

Values from the calculation:
* space group: No. 156
* formation enthalpy at 0 K: -0.324 eV per atom
* crystal system: trigonal

=====

Crystalline Ce2GdGe at its relaxed geometry. Source: Alexandria via LeMat-Bulk, functional GGA-PBE.

POSCAR file:
```
Ce2GdGe
1.0
3.991 0.000 0.000
0.000 3.991 0.000
0.000 0.000 6.859
Ce Gd Ge
2 1 1
Cartesian
0.000 0.000 1.359
0.000 0.000 5.500
1.995 1.995 3.430
1.995 1.995 0.000
```

Values from the calculation:
* space group: No. 123
* formation enthalpy at 0 K: -0.338 eV per atom
* crystal system: tetragonal

=====

Crystalline Ce2GdGe at its relaxed geometry. Source: Alexandria via LeMat-Bulk, functional GGA-PBE.

POSCAR file:
```
Ce2GdGe
1.0
1.913 1.105 9.611
-1.913 1.105 9.611
0.000 -2.209 9.611
Ce Gd Ge
2 1 1
Cartesian
0.000 0.000 6.704
0.000 0.000 22.129
0.000 0.000 0.000
0.000 0.000 14.417
```

Values from the calculation:
* space group: No. 166
* formation enthalpy at 0 K: -0.122 eV per atom
* crystal system: trigonal

=====

Crystalline CeGdGe at its relaxed geometry. Source: Alexandria via LeMat-Bulk, functional GGA-PBE.

POSCAR file:
```
CeGdGe
1.0
0.000 3.513 3.513
3.513 0.000 3.513
3.513 3.513 0.000
Ce Gd Ge
1 1 1
Cartesian
0.000 0.000 0.000
3.513 3.513 3.513
1.756 1.756 1.756
```

Values from the calculation:
* space group: No. 216
* formation enthalpy at 0 K: -0.439 eV per atom
* crystal system: cubic

=====

Crystalline CeGdInGe at its relaxed geometry. Source: Alexandria via LeMat-Bulk, functional GGA-PBE.

POSCAR file:
```
CeGdInGe
1.0
0.000 3.729 3.729
3.729 0.000 3.729
3.729 3.729 0.000
Ce Gd In Ge
1 1 1 1
Cartesian
0.000 0.000 0.000
3.729 3.729 3.729
1.865 1.865 1.865
5.594 5.594 5.594
```

Values from the calculation:
* space group: No. 216
* formation enthalpy at 0 K: -0.461 eV per atom
* crystal system: cubic

=====

Crystalline CeGdGeIr at its relaxed geometry. Source: Alexandria via LeMat-Bulk, functional GGA-PBE.

POSCAR file:
```
CeGdGeIr
1.0
0.000 3.553 3.553
3.553 0.000 3.553
3.553 3.553 0.000
Ce Gd Ge Ir
1 1 1 1
Cartesian
0.000 0.000 0.000
3.553 3.553 3.553
5.329 5.329 5.329
1.776 1.776 1.776
```

Values from the calculation:
* space group: No. 216
* formation enthalpy at 0 K: -0.612 eV per atom
* crystal system: cubic

=====

Crystalline LiCeGdGe at its relaxed geometry. Source: Alexandria via LeMat-Bulk, functional GGA-PBE.

POSCAR file:
```
LiCeGdGe
1.0
0.000 3.614 3.614
3.614 0.000 3.614
3.614 3.614 0.000
Li Ce Gd Ge
1 1 1 1
Cartesian
0.000 0.000 0.000
5.420 5.420 5.420
1.807 1.807 1.807
3.614 3.614 3.614
```

Values from the calculation:
* space group: No. 216
* formation enthalpy at 0 K: -0.323 eV per atom
* crystal system: cubic

=====

Crystalline CeGdPaGe at its relaxed geometry. Source: Alexandria via LeMat-Bulk, functional GGA-PBE.

POSCAR file:
```
CeGdPaGe
1.0
0.000 3.676 3.676
3.676 0.000 3.676
3.676 3.676 0.000
Ce Gd Pa Ge
1 1 1 1
Cartesian
0.000 0.000 0.000
3.676 3.676 3.676
5.514 5.514 5.514
1.838 1.838 1.838
```

Values from the calculation:
* space group: No. 216
* formation enthalpy at 0 K: 0.044 eV per atom
* crystal system: cubic

=====

Crystalline CeGdGePb at its relaxed geometry. Source: Alexandria via LeMat-Bulk, functional GGA-PBE.

POSCAR file:
```
CeGdGePb
1.0
0.000 3.774 3.774
3.774 0.000 3.774
3.774 3.774 0.000
Ce Gd Ge Pb
1 1 1 1
Cartesian
0.000 0.000 0.000
3.774 3.774 3.774
5.661 5.661 5.661
1.887 1.887 1.887
```

Values from the calculation:
* space group: No. 216
* formation enthalpy at 0 K: -0.444 eV per atom
* crystal system: cubic

=====

Crystalline CeGdGeRh at its relaxed geometry. Source: Alexandria via LeMat-Bulk, functional GGA-PBE.

POSCAR file:
```
CeGdGeRh
1.0
0.000 3.556 3.556
3.556 0.000 3.556
3.556 3.556 0.000
Ce Gd Ge Rh
1 1 1 1
Cartesian
0.000 0.000 0.000
3.556 3.556 3.556
1.778 1.778 1.778
5.334 5.334 5.334
```

Values from the calculation:
* space group: No. 216
* formation enthalpy at 0 K: -0.635 eV per atom
* crystal system: cubic

=====

Crystalline CeGdGeRu at its relaxed geometry. Source: Alexandria via LeMat-Bulk, functional GGA-PBE.

POSCAR file:
```
CeGdGeRu
1.0
0.000 3.533 3.533
3.533 0.000 3.533
3.533 3.533 0.000
Ce Gd Ge Ru
1 1 1 1
Cartesian
0.000 0.000 0.000
3.533 3.533 3.533
1.767 1.767 1.767
5.300 5.300 5.300
```

Values from the calculation:
* space group: No. 216
* formation enthalpy at 0 K: -0.398 eV per atom
* crystal system: cubic

=====

Crystalline CeGdSnGe at its relaxed geometry. Source: Alexandria via LeMat-Bulk, functional GGA-PBE.

POSCAR file:
```
CeGdSnGe
1.0
0.000 3.737 3.737
3.737 0.000 3.737
3.737 3.737 0.000
Ce Gd Sn Ge
1 1 1 1
Cartesian
0.000 0.000 0.000
3.737 3.737 3.737
5.606 5.606 5.606
1.869 1.869 1.869
```

Values from the calculation:
* space group: No. 216
* formation enthalpy at 0 K: -0.551 eV per atom
* crystal system: cubic

=====

Crystalline CeGdTlGe at its relaxed geometry. Source: Alexandria via LeMat-Bulk, functional GGA-PBE.

POSCAR file:
```
CeGdTlGe
1.0
0.000 3.750 3.750
3.750 0.000 3.750
3.750 3.750 0.000
Ce Gd Tl Ge
1 1 1 1
Cartesian
0.000 0.000 0.000
3.750 3.750 3.750
1.875 1.875 1.875
5.625 5.625 5.625
```

Values from the calculation:
* space group: No. 216
* formation enthalpy at 0 K: -0.403 eV per atom
* crystal system: cubic

=====

Crystalline CeGdZnGe at its relaxed geometry. Source: Alexandria via LeMat-Bulk, functional GGA-PBE.

POSCAR file:
```
CeGdZnGe
1.0
0.000 3.609 3.609
3.609 0.000 3.609
3.609 3.609 0.000
Ce Gd Zn Ge
1 1 1 1
Cartesian
0.000 0.000 0.000
3.609 3.609 3.609
5.413 5.413 5.413
1.804 1.804 1.804
```

Values from the calculation:
* space group: No. 216
* formation enthalpy at 0 K: -0.483 eV per atom
* crystal system: cubic

=====

Crystalline CeGd2H at its relaxed geometry. Source: Alexandria via LeMat-Bulk, functional GGA-PBE.

POSCAR file:
```
CeGd2H
1.0
3.288 0.000 0.000
0.000 3.288 0.000
0.000 0.000 8.575
Ce Gd H
1 2 1
Cartesian
0.000 0.000 0.000
1.644 1.644 2.679
1.644 1.644 5.896
0.000 0.000 4.287
```

Values from the calculation:
* space group: No. 123
* crystal system: tetragonal

=====

Crystalline CeGd2H at its relaxed geometry. Source: Alexandria via LeMat-Bulk, functional GGA-PBE.

POSCAR file:
```
CeGd2H
1.0
1.789 1.033 8.530
-1.789 1.033 8.530
0.000 -2.066 8.530
Ce Gd H
1 2 1
Cartesian
0.000 0.000 0.000
0.000 0.000 5.706
0.000 0.000 19.882
0.000 0.000 12.794
```

Values from the calculation:
* space group: No. 166
* crystal system: trigonal

=====

Crystalline CeGd2H4 at its relaxed geometry. Source: Alexandria via LeMat-Bulk, functional GGA-PBE.

POSCAR file:
```
CeGd2H4
1.0
-2.095 2.095 6.314
2.095 -2.095 6.314
2.095 2.095 -6.314
Ce Gd H
1 2 4
Cartesian
0.000 0.000 0.000
0.000 0.000 4.399
0.000 0.000 8.229
2.095 0.000 0.000
0.000 0.000 2.233
0.000 2.095 0.000
0.000 0.000 10.395
```

Values from the calculation:
* space group: No. 139
* crystal system: tetragonal

=====

Crystalline CeGdHf at its relaxed geometry. Source: Alexandria via LeMat-Bulk, functional GGA-PBE.

POSCAR file:
```
CeGdHf
1.0
3.343 0.000 0.000
-1.672 2.895 0.000
0.000 0.000 8.287
Ce Gd Hf
1 1 1
Cartesian
0.000 0.000 0.000
1.672 0.965 2.936
0.000 1.930 5.660
```

Values from the calculation:
* space group: No. 156
* formation enthalpy at 0 K: 0.148 eV per atom
* crystal system: trigonal

=====

Crystalline Ce2GdHf at its relaxed geometry. Source: Alexandria via LeMat-Bulk, functional GGA-PBE.

POSCAR file:
```
Ce2GdHf
1.0
3.994 0.000 0.000
0.000 3.994 0.000
0.000 0.000 7.008
Ce Gd Hf
2 1 1
Cartesian
0.000 0.000 1.518
0.000 0.000 5.491
1.997 1.997 3.504
1.997 1.997 0.000
```

Values from the calculation:
* space group: No. 123
* formation enthalpy at 0 K: 0.233 eV per atom
* crystal system: tetragonal

=====

Crystalline CeGd2Hf at its relaxed geometry. Source: Alexandria via LeMat-Bulk, functional GGA-PBE.

POSCAR file:
```
CeGd2Hf
1.0
1.658 0.957 11.896
-1.658 0.957 11.896
0.000 -1.914 11.896
Ce Gd Hf
1 2 1
Cartesian
0.000 0.000 0.000
0.000 0.000 14.750
0.000 0.000 20.937
0.000 0.000 17.844
```

Values from the calculation:
* space group: No. 166
* formation enthalpy at 0 K: 0.364 eV per atom
* crystal system: trigonal

=====

Crystalline CeGd2Hf at its relaxed geometry. Source: Alexandria via LeMat-Bulk, functional GGA-PBE.

POSCAR file:
```
CeGd2Hf
1.0
4.807 0.000 0.000
0.000 4.807 0.000
0.000 0.000 4.909
Ce Gd Hf
1 2 1
Cartesian
0.000 0.000 0.000
0.000 2.403 2.454
2.403 0.000 2.454
2.403 2.403 0.000
```

Values from the calculation:
* space group: No. 123
* formation enthalpy at 0 K: 0.171 eV per atom
* crystal system: tetragonal

=====

Crystalline CeGdHf at its relaxed geometry. Source: Alexandria via LeMat-Bulk, functional GGA-PBE.

POSCAR file:
```
CeGdHf
1.0
-1.642 1.642 7.582
1.642 -1.642 7.582
1.642 1.642 -7.582
Ce Gd Hf
1 1 1
Cartesian
0.000 0.000 0.000
0.000 0.000 4.770
0.000 0.000 9.944
```

Values from the calculation:
* space group: No. 107
* formation enthalpy at 0 K: 0.145 eV per atom
* crystal system: tetragonal

=====

Crystalline Ce2GdHf at its relaxed geometry. Source: Alexandria via LeMat-Bulk, functional GGA-PBE.

POSCAR file:
```
Ce2GdHf
1.0
4.727 0.000 0.000
0.000 4.727 0.000
0.000 0.000 4.881
Ce Gd Hf
2 1 1
Cartesian
0.000 2.364 0.000
2.364 0.000 0.000
0.000 0.000 2.441
2.364 2.364 2.441
```

Values from the calculation:
* space group: No. 123
* formation enthalpy at 0 K: 0.176 eV per atom
* crystal system: tetragonal

=====

Record-wise final energy values, in eV/atom: -11.86; -7.85; -9.76; -6.46; -11.97; -12.67; -6.79; -8.01; -8.53; -7.98; -7.76; -8.65; -7.30; -8.98; -6.96; -8.49; -7.53; -8.63; -8.88; -7.71; -7.15; -6.96; -9.25; -9.50; -6.99; -9.84; -8.74; -10.65; -10.84; -9.84; -8.80